1.
A plane-wave DFT calculation with PBE-GGA was carried out for NaCrCl2 after structural relaxation.

Values from the calculation:
The value obtained for the theoretical density is 2.221 g/cm³. The energy above the lowest structure with this stoichiometry comes out at 0.016 eV/atom. The calculation puts the energy relative to the elements, uncorrected at -0.8759 eV/atom. As for the total magnetization: 1.250 μB per atom.

The structure in CIF format:
```
data_NaCrCl2
_symmetry_space_group_name_H-M 'I -4 2 d'
_symmetry_Int_Tables_number 122
_symmetry_space_group_name_Hall 'I -4 2bw'
_cell_length_a 5.812
_cell_length_b 5.812
_cell_length_c 12.917
_cell_angle_alpha 90.00
_cell_angle_beta 90.00
_cell_angle_gamma 90.00
loop_
_atom_site_label
_atom_site_fract_x
_atom_site_fract_y
_atom_site_fract_z
Na1 0.000 0.000 0.000
Cr1 0.000 0.000 0.500
Cl1 0.221 0.250 0.625
```

2.
A plane-wave DFT calculation with PBE-GGA was carried out for LaH8Pd4Rh after structural relaxation.

Values from the calculation:
The value obtained for the theoretical density is 8.115 g/cm³. As for the total magnetization: 0.000 μB per atom. Its energy is -4.53 eV/atom.

The structure in CIF format:
```
data_LaH8Pd4Rh
_symmetry_space_group_name_H-M 'R 3 m'
_symmetry_Int_Tables_number 160
_symmetry_space_group_name_Hall 'R 3 -2"'
_cell_length_a 5.8085
_cell_length_b 5.8085
_cell_length_c 14.1941
_cell_angle_alpha 90.00
_cell_angle_beta 90.00
_cell_angle_gamma 120.00
loop_
_atom_site_label
_atom_site_fract_x
_atom_site_fract_y
_atom_site_fract_z
La1 0.0000 0.0000 0.0000
H1 0.0000 0.0000 0.1630
H2 0.0000 0.0000 0.6154
H3 0.0223 0.5112 0.1224
H4 0.2200 0.4400 0.9558
Pd1 0.0000 0.0000 0.7526
Pd2 0.1696 0.3391 0.2077
Rh1 0.0000 0.0000 0.3777
```

3.
A plane-wave DFT calculation with PBE-GGA was carried out for YTmAl4 after structural relaxation.

Values from the calculation:
The value obtained for the theoretical density is 5.049 g/cm³. As for the total magnetization: 0.000 μB per atom. Its formation energy is -0.515 eV per atom.

The structure in CIF format:
```
data_YTmAl4
_symmetry_space_group_name_H-M 'F -4 3 m'
_symmetry_Int_Tables_number 216
_symmetry_space_group_name_Hall 'F -4 2 3'
_cell_length_a 7.836
_cell_length_b 7.836
_cell_length_c 7.836
_cell_angle_alpha 90.00
_cell_angle_beta 90.00
_cell_angle_gamma 90.00
loop_
_atom_site_label
_atom_site_fract_x
_atom_site_fract_y
_atom_site_fract_z
Y1 0.000 0.000 0.000
Tm1 0.250 0.250 0.250
Al1 0.125 0.125 0.625
```

4.
A plane-wave DFT calculation with PBE-GGA was carried out for CaAlHg after structural relaxation.

Values from the calculation:
The value obtained for the theoretical density is 5.496 g/cm³. The energy above the lowest structure with this stoichiometry comes out at 0.218 eV/atom. As for the total magnetization: 0.000 μB per atom. Its formation energy is -0.199 eV per atom.

The structure in CIF format:
```
data_CaAlHg
_symmetry_space_group_name_H-M 'F -4 3 m'
_symmetry_Int_Tables_number 216
_symmetry_space_group_name_Hall 'F -4 2 3'
_cell_length_a 6.865
_cell_length_b 6.865
_cell_length_c 6.865
_cell_angle_alpha 90.00
_cell_angle_beta 90.00
_cell_angle_gamma 90.00
loop_
_atom_site_label
_atom_site_fract_x
_atom_site_fract_y
_atom_site_fract_z
Ca1 0.000 0.000 0.000
Al1 0.000 0.000 0.500
Hg1 0.250 0.250 0.750
```